Compound: Tm2SnAs
Source: the Alexandria database
Functional: PBE
Structure: relaxed

Density   8485 kg/m3
Crystal system   trigonal

Cell lengths 3.9851, 3.9851, 7.9054 Å; angles 75.40, 75.40, 60.00 degrees
With the nearest neighbours (Å) after each atom.
Atoms (fractional coordinates):
Tm 0.2608 0.2608 0.2177  3 As 2.83, 3 Sn 3.14
Tm 0.7392 0.7392 0.7823  3 As 2.83, 3 Sn 3.14
Sn 0.5000 0.5000 0.5000  6 Tm 3.14
As 0.0000 0.0000 0.0000  6 Tm 2.83

Compound: U2SnAs
Source: the Alexandria database
Functional: PBE
Structure: relaxed

Density   11884 kg/m3
Crystal system   tetragonal
Energy relative to the lowest polymorph listed for this composition   0.00 eV per formula unit

Cell lengths 2.9598, 5.6227, 5.6227 Å; angles 90.00, 90.00, 90.00 degrees
With the nearest neighbours (Å) after each atom.
Atoms (fractional coordinates):
Sn 0.5000 0.5000 0.5000  2 Sn 2.96, 8 U 3.18
As 0.5000 0.0000 0.0000  2 As 2.96, 8 U 3.18
U 0.0000 0.5000 0.0000  2 U 2.96, 4 Sn 3.18, 4 As 3.18
U 0.0000 0.0000 0.5000  2 U 2.96, 4 Sn 3.18, 4 As 3.18

Compound: U2SnAs
Source: the Alexandria database
Functional: PBE
Structure: relaxed

Density   10499 kg/m3
Crystal system   trigonal
Energy relative to the lowest polymorph listed for this composition   0.05 eV per formula unit

Cell lengths 3.8938, 3.8938, 8.3740 Å; angles 76.56, 76.56, 60.00 degrees
With the nearest neighbours (Å) after each atom.
Atoms (fractional coordinates):
As 0.0000 0.0000 0.0000  6 U 2.88
U 0.7409 0.7409 0.7772  3 As 2.88, 3 Sn 3.17
U 0.2591 0.2591 0.2228  3 As 2.88, 3 Sn 3.17
Sn 0.5000 0.5000 0.5000  6 U 3.17

no.,raw total energy (eV per cell)
1,-21.69
2,-31.97
3,-31.92